Density functional theory data (GGA-PBE) for an optimized crystal structure of YHgN3.

Cell and atoms, written as POSCAR:
```
YHgN3
1.0
4.5026 0.0000 0.0000
0.0000 4.5026 0.0000
0.0000 0.0000 4.5026
Y Hg N
1 1 3
Direct
0.0000 0.0000 0.0000
0.5000 0.5000 0.5000
0.0000 0.5000 0.0000
0.0000 0.0000 0.5000
0.5000 0.0000 0.0000
```

* raw formation energy: 134.2 kJ/mol of atoms
* size of the total moment: 4.4 Bohr magnetons per cell
* calculated density: 6.031 g/cm³
* space group: Pm-3m (221)